Record 1
# SiIrW2, single point on PBEsol structure, DFT SCAN
# Total energy in eV per atom: -55.139
# Total moment in μB per atom: 0.000
# Formation energy (no corrections) in eV per atom: -0.016
data_SiIrW2
_space_group_name_H-M_alt 'P 4 m m'
_space_group_IT_number 99
_space_group_name_Hall 'P 4 -2'
_cell_length_a 3.132
_cell_length_b 3.132
_cell_length_c 5.891
_cell_angle_alpha 90.00
_cell_angle_beta 90.00
_cell_angle_gamma 90.00
loop_
_atom_site_label
_atom_site_fract_x
_atom_site_fract_y
_atom_site_fract_z
Si1 0.000 0.000 0.000
Ir1 0.500 0.500 0.765
W1 0.000 0.000 0.488
W2 0.500 0.500 0.237

=====

Record 2
# SiIrW2, single point on PBEsol structure, DFT SCAN
# Total energy in eV per atom: -55.300
# Total moment in μB per atom: 0.000
# Formation energy (no corrections) in eV per atom: -0.177
data_SiIrW2
_space_group_name_H-M_alt 'I 4/m m m'
_space_group_IT_number 139
_space_group_name_Hall '-I 4 2'
_cell_length_a 3.717
_cell_length_b 3.717
_cell_length_c 8.315
_cell_angle_alpha 90.00
_cell_angle_beta 90.00
_cell_angle_gamma 90.00
loop_
_atom_site_label
_atom_site_fract_x
_atom_site_fract_y
_atom_site_fract_z
Si1 0.000 0.000 0.000
Ir1 0.000 0.000 0.500
W1 0.000 0.500 0.250

=====

Record 3
# SiIrW, single point on PBEsol structure, DFT SCAN
# Total energy in eV per atom: -50.569
# Total moment in μB per atom: 0.000
# Energy above the lowest structure with this stoichiometry in eV/f.u.: 0.000
# Formation energy (no corrections) in eV per atom: -0.302
data_SiIrW
_space_group_name_H-M_alt 'P -6 m 2'
_space_group_IT_number 187
_space_group_name_Hall 'P -6 2'
_cell_length_a 4.1895
_cell_length_b 4.1895
_cell_length_c 2.7553
_cell_angle_alpha 90.00
_cell_angle_beta 90.00
_cell_angle_gamma 120.00
loop_
_atom_site_label
_atom_site_fract_x
_atom_site_fract_y
_atom_site_fract_z
Si1 0.0000 0.0000 0.0000
Ir1 0.3333 0.6667 0.0000
W1 0.6667 0.3333 0.5000

=====

Record 4
# YSi3Ir, single point on PBEsol structure, DFT SCAN
# Total energy in eV per atom: -26.681
# Total moment in μB per atom: 0.000
# Formation energy (no corrections) in eV per atom: -0.883
data_YSi3Ir
_space_group_name_H-M_alt 'I 4 m m'
_space_group_IT_number 107
_space_group_name_Hall 'I 4 -2'
_cell_length_a 4.154
_cell_length_b 4.154
_cell_length_c 9.743
_cell_angle_alpha 90.00
_cell_angle_beta 90.00
_cell_angle_gamma 90.00
loop_
_atom_site_label
_atom_site_fract_x
_atom_site_fract_y
_atom_site_fract_z
Y1 0.000 0.000 0.000
Si1 0.000 0.000 0.584
Si2 0.000 0.500 0.233
Ir1 0.000 0.000 0.346